Record 1
A relaxed La2AsBr crystal. Source: Alexandria via LeMat-Bulk, functional PBE.

```
data_La2AsBr
_space_group_name_H-M_alt 'F m -3 m'
_space_group_IT_number 225
_space_group_name_Hall '-F 4 2 3'
_cell_length_a 7.485
_cell_length_b 7.485
_cell_length_c 7.485
_cell_angle_alpha 90.00
_cell_angle_beta 90.00
_cell_angle_gamma 90.00
loop_
_atom_site_label
_atom_site_type_symbol
_atom_site_fract_x
_atom_site_fract_y
_atom_site_fract_z
_atom_site_occupancy
La1 La 0.250 0.250 0.250 1
As1 As 0.000 0.000 0.000 1
Br1 Br 0.000 0.000 0.500 1
```

Values from the calculation:
E_tot ... -5.3803 eV per atom
Formation energy from raw total energies ... -5.34 eV per formula unit
M_tot ... 0.0 Bohr magnetons per cell
Density ... 6.85 g cm⁻³
Crystal system ... cubic


Record 2
A relaxed TeSCl2 crystal. Source: Alexandria via LeMat-Bulk, functional PBE.

```
data_TeSCl2
_space_group_name_H-M_alt 'F m -3 m'
_space_group_IT_number 225
_space_group_name_Hall '-F 4 2 3'
_cell_length_a 6.956
_cell_length_b 6.956
_cell_length_c 6.956
_cell_angle_alpha 90.00
_cell_angle_beta 90.00
_cell_angle_gamma 90.00
loop_
_atom_site_label
_atom_site_type_symbol
_atom_site_fract_x
_atom_site_fract_y
_atom_site_fract_z
_atom_site_occupancy
Te1 Te 0.000 0.000 0.000 1
S1 S 0.000 0.000 0.500 1
Cl1 Cl 0.250 0.250 0.250 1
```

Values from the calculation:
E_tot ... -2.0813 eV per atom
Relative energy among the computed polymorphs ... 950 meV per atom
Formation energy from raw total energies ... 2.64 eV per formula unit
M_tot ... 0.0 Bohr magnetons per cell
Density ... 4.55 g cm⁻³
Crystal system ... cubic


Record 3
A relaxed Hf2As2Pd crystal. Source: Alexandria via LeMat-Bulk, functional PBE.

```
data_Hf2As2Pd
_space_group_name_H-M_alt 'P 4/m b m'
_space_group_IT_number 127
_space_group_name_Hall '-P 4 2ab'
_cell_length_a 7.157
_cell_length_b 7.157
_cell_length_c 3.559
_cell_angle_alpha 90.00
_cell_angle_beta 90.00
_cell_angle_gamma 90.00
loop_
_atom_site_label
_atom_site_type_symbol
_atom_site_fract_x
_atom_site_fract_y
_atom_site_fract_z
_atom_site_occupancy
Hf1 Hf 0.156 0.344 0.000 1
As1 As 0.149 0.649 0.500 1
Pd1 Pd 0.000 0.000 0.500 1
```

Values from the calculation:
E_tot ... -7.6244 eV per atom
M_tot ... 0.0 Bohr magnetons per cell
Density ... 11.17 g cm⁻³
ΔH_f (0 K) ... -745 meV/atom
Crystal system ... tetragonal


Record 4
A relaxed Pu2UHg crystal. Source: Alexandria via LeMat-Bulk, functional PBE.

```
data_Pu2UHg
_space_group_name_H-M_alt 'P 4/m m m'
_space_group_IT_number 123
_space_group_name_Hall '-P 4 2'
_cell_length_a 3.287
_cell_length_b 3.287
_cell_length_c 8.699
_cell_angle_alpha 90.00
_cell_angle_beta 90.00
_cell_angle_gamma 90.00
loop_
_atom_site_label
_atom_site_type_symbol
_atom_site_fract_x
_atom_site_fract_y
_atom_site_fract_z
_atom_site_occupancy
Pu1 Pu 0.000 0.000 0.224 1
U1 U 0.500 0.500 0.000 1
Hg1 Hg 0.500 0.500 0.500 1
```

Values from the calculation:
E_tot ... -9.9453 eV per atom
Relative energy among the computed polymorphs ... 0 meV per atom
M_tot ... 11.3 Bohr magnetons per cell
Density ... 16.37 g cm⁻³
ΔH_f (0 K) ... 118 meV/atom
Crystal system ... tetragonal


Record 5
A relaxed MnPPt2 crystal. Source: Alexandria via LeMat-Bulk, functional PBE.

```
data_MnPPt2
_space_group_name_H-M_alt 'C 1 2/m 1'
_space_group_IT_number 12
_space_group_name_Hall '-C 2y'
_cell_length_a 8.380
_cell_length_b 3.386
_cell_length_c 4.329
_cell_angle_alpha 90.00
_cell_angle_beta 98.81
_cell_angle_gamma 90.00
loop_
_atom_site_label
_atom_site_type_symbol
_atom_site_fract_x
_atom_site_fract_y
_atom_site_fract_z
_atom_site_occupancy
Mn1 Mn 0.000 0.000 0.000 1
P1 P 0.000 0.500 0.500 1
Pt1 Pt 0.235 0.500 0.246 1
```

Values from the calculation:
E_tot ... -6.8410 eV per atom
M_tot ... 7.5 Bohr magnetons per cell
Density ... 13.02 g cm⁻³
ΔH_f (0 K) ... -176 meV/atom
Crystal system ... monoclinic


Record 6
A relaxed Ho2Er4Tl crystal. Source: Alexandria via LeMat-Bulk, functional PBE.

```
data_Ho2Er4Tl
_space_group_name_H-M_alt 'C 1 2/m 1'
_space_group_IT_number 12
_space_group_name_Hall '-C 2y'
_cell_length_a 16.260
_cell_length_b 3.445
_cell_length_c 8.495
_cell_angle_alpha 90.00
_cell_angle_beta 116.82
_cell_angle_gamma 90.00
loop_
_atom_site_label
_atom_site_type_symbol
_atom_site_fract_x
_atom_site_fract_y
_atom_site_fract_z
_atom_site_occupancy
Ho1 Ho 0.219 0.000 0.142 1
Er1 Er 0.077 0.000 0.706 1
Er2 Er 0.138 0.500 0.409 1
Tl1 Tl 0.000 0.000 0.000 1
```

Values from the calculation:
E_tot ... -4.2437 eV per atom
Relative energy among the computed polymorphs ... 22 meV per atom
M_tot ... 0.0 Bohr magnetons per cell
Density ... 9.41 g cm⁻³
ΔH_f (0 K) ... 10 meV/atom
Crystal system ... monoclinic


Record 7
A relaxed MgIn2Br3Cl crystal. Source: Alexandria via LeMat-Bulk, functional PBE.

```
data_MgIn2Br3Cl
_space_group_name_H-M_alt 'I m m m'
_space_group_IT_number 71
_space_group_name_Hall '-I 2 2'
_cell_length_a 4.943
_cell_length_b 5.324
_cell_length_c 16.776
_cell_angle_alpha 90.00
_cell_angle_beta 90.00
_cell_angle_gamma 90.00
loop_
_atom_site_label
_atom_site_type_symbol
_atom_site_fract_x
_atom_site_fract_y
_atom_site_fract_z
_atom_site_occupancy
Mg1 Mg 0.000 0.000 0.000 1
In1 In 0.000 0.000 0.356 1
Br1 Br 0.000 0.000 0.162 1
Br2 Br 0.000 0.500 0.000 1
Cl1 Cl 0.000 0.500 0.500 1
```

Values from the calculation:
E_tot ... -3.0331 eV per atom
Formation energy from raw total energies ... -7.29 eV per formula unit
M_tot ... 0.0 Bohr magnetons per cell
Density ... 3.98 g cm⁻³
Crystal system ... orthorhombic


Record 8
A relaxed AlTlPtO2 crystal. Source: Alexandria via LeMat-Bulk, functional PBE.

```
data_AlTlPtO2
_space_group_name_H-M_alt 'P 4/m m m'
_space_group_IT_number 123
_space_group_name_Hall '-P 4 2'
_cell_length_a 3.956
_cell_length_b 3.956
_cell_length_c 5.873
_cell_angle_alpha 90.00
_cell_angle_beta 90.00
_cell_angle_gamma 90.00
loop_
_atom_site_label
_atom_site_type_symbol
_atom_site_fract_x
_atom_site_fract_y
_atom_site_fract_z
_atom_site_occupancy
Al1 Al 0.000 0.000 0.000 1
Tl1 Tl 0.500 0.500 0.000 1
Pt1 Pt 0.500 0.500 0.500 1
O1 O 0.000 0.500 0.500 1
```

Values from the calculation:
E_tot ... -4.2739 eV per atom
Formation energy from raw total energies ... 0.70 eV per formula unit
M_tot ... 0.0 Bohr magnetons per cell
Density ... 8.28 g cm⁻³
Crystal system ... tetragonal